# 1
First-principles (PBE) data for a relaxed Ca2YSe crystal, as listed in Alexandria.

Computed properties:
For the formation energy without anion corrections, the calculation gives -628 meV/atom. Its density is 3.37 g/cm3. Its space-group type is Immm, No. 71. The value obtained for the energy above the most stable polymorph in this dataset is 217 meV per atom.

a = 6.835 Å, b = 6.835 Å, c = 6.835 Å
α = 148.68°, β = 132.20°, γ = 58.27°
Each line ends with the local moment (μB).
Element x y z (fractional)
Ca 0.554 0.554 0.000  0.03
Ca 0.946 0.946 0.000  0.03
Se 0.750 0.250 0.500  -0.01
Y 0.250 0.750 0.500  0.28

---

# 2
First-principles (PBE) data for a relaxed V3ReW2 crystal, as listed in Alexandria.

Computed properties:
Its density is 13.53 g/cm3. Its space-group type is P4/mmm, No. 123. Its energy of formation from the pure elements is -18.8 kJ per mole of atoms.

a = 3.068 Å, b = 3.068 Å, c = 9.210 Å
α = 90.00°, β = 90.00°, γ = 90.00°
Element x y z (fractional)
V 0.000 0.000 0.000
W 0.500 0.500 0.833
V 0.000 0.000 0.663
V 0.000 0.000 0.337
Re 0.500 0.500 0.500
W 0.500 0.500 0.167

---

# 3
First-principles (PBE) data for a relaxed Tb3Dy3Sc crystal, as listed in Alexandria.

Computed properties:
Its density is 7.74 g/cm3. Its space-group type is P6_3/m, No. 176. Its energy of formation from the pure elements is 2.2 kJ per mole of atoms. The value obtained for the energy above the most stable polymorph in this dataset is 0 meV per atom.

a = 5.601 Å, b = 9.449 Å, c = 9.450 Å
α = 120.00°, β = 90.00°, γ = 90.00°
Element x y z (fractional)
Dy 0.750 0.618 0.097
Dy 0.750 0.478 0.382
Sc 0.750 0.333 0.667
Dy 0.250 0.382 0.903
Dy 0.750 0.904 0.522
Sc 0.250 0.667 0.333
Tb 0.750 0.191 0.949
Dy 0.250 0.522 0.618
Tb 0.250 0.242 0.191
Tb 0.750 0.758 0.809
Tb 0.250 0.809 0.051
Tb 0.250 0.949 0.758
Dy 0.250 0.096 0.478
Tb 0.750 0.051 0.242

---

# 4
First-principles (PBE) data for a relaxed Pr3PaPd12 crystal, as listed in Alexandria.

Computed properties:
Its density is 10.82 g/cm3. Its space-group type is P4/mmm, No. 123. Its energy of formation from the pure elements is -76.1 kJ per mole of atoms.

a = 4.202 Å, b = 4.202 Å, c = 16.786 Å
α = 90.00°, β = 90.00°, γ = 90.00°
Element x y z (fractional)
Pd 0.500 0.500 0.755
Pd 0.000 0.500 0.883
Pr 0.000 0.000 0.500
Pd 0.500 0.000 0.627
Pd 0.500 0.500 0.000
Pd 0.000 0.500 0.117
Pr 0.000 0.000 0.252
Pr 0.000 0.000 0.748
Pd 0.500 0.500 0.245
Pd 0.000 0.500 0.627
Pd 0.500 0.000 0.373
Pd 0.500 0.000 0.117
Pa 0.000 0.000 0.000
Pd 0.000 0.500 0.373
Pd 0.500 0.000 0.883
Pd 0.500 0.500 0.500

---

# 5
First-principles (PBE) data for a relaxed MgBeN2O crystal, as listed in Alexandria.

Computed properties:
For the formation energy without anion corrections, the calculation gives 1291 meV/atom. Its density is 2.10 g/cm3. Its space-group type is P4/mmm, No. 123.

a = 4.037 Å, b = 4.037 Å, c = 3.758 Å
α = 90.00°, β = 90.00°, γ = 90.00°
Each line ends with the local moment (μB).
Element x y z (fractional)
Mg 0.000 0.000 0.000  0.00
Be 0.500 0.500 0.500  -0.09
N 0.000 0.500 0.000  1.14
O 0.000 0.000 0.500  0.72
N 0.500 0.000 0.000  1.14

---

# 6
First-principles (PBE) data for a relaxed NaTaTe3 crystal, as listed in Alexandria.

Computed properties:
For the formation energy without anion corrections, the calculation gives -159 meV/atom. Its density is 5.90 g/cm3. Its space-group type is Pm-3m, No. 221. The value obtained for the energy above the most stable polymorph in this dataset is 0 meV per atom.

a = 5.488 Å, b = 5.488 Å, c = 5.488 Å
α = 90.00°, β = 90.00°, γ = 90.00°
Element x y z (fractional)
Na 0.500 0.500 0.500
Te 0.000 0.000 0.500
Ta 0.000 0.000 0.000
Te 0.500 0.000 0.000
Te 0.000 0.500 0.000

---

Number 1: volume 122 Å³ per cell, D(E_F) 3.60 states/eV/f.u.. Number 2: volume 87 Å³ per cell, D(E_F) 3.66 states/eV/f.u.. Number 3: volume 433 Å³ per cell, D(E_F) 14.41 states/eV/f.u.. Number 4: volume 296 Å³ per cell, D(E_F) 4.40 states/eV/f.u.. Number 5: volume 61 Å³ per cell, D(E_F) 1.54 states/eV/f.u.. Number 6: volume 165 Å³ per cell, D(E_F) 2.82 states/eV/f.u..